1.
VASP calculation (PBE) on a geometry-optimized MnTl2Zn structure.

Cell: 4.737 4.737 3.893 Å, 90.00 90.00 90.00°
Space group P4/mmm (No. 123)
Unique sites:
Mn 0.000 0.000 0.000 (multiplicity 1)
Tl 0.000 0.500 0.500 (multiplicity 2)
Zn 0.500 0.500 0.000 (multiplicity 1)

Properties
The formation energy is 1.5 eV/f.u.

2.
VASP calculation (PBE) on a geometry-optimized Nd2BiRuO8 structure.

Cell: 7.240 7.393 6.848 Å, 90.00 90.00 90.00°
Space group C2/m (No. 12)
Unique sites:
Nd 0.001 0.000 0.255 (multiplicity 4)
Bi 0.000 0.500 0.000 (multiplicity 2)
Ru 0.000 0.500 0.500 (multiplicity 2)
O 0.000 0.324 0.278 (multiplicity 8)
O 0.200 0.000 0.999 (multiplicity 4)
O 0.239 0.000 0.501 (multiplicity 4)

Properties
The value obtained for the uncorrected formation energy is -1858 meV/atom.

Computed DOS at the Fermi energy (states/eV/cell) in order:
1.28 10.50